Record 1
Compound: NbSn2MoN
Source: Alexandria via LeMat-Bulk
Functional: PBE-GGA
Structure: optimized geometry

Lattice parameters (Å, degrees): 4.802 4.802 3.885 90.00 90.00 90.00
Space group P4/mmm (No. 123)
Unique sites:
1 Nb 0.000 0.000 0.000 (multiplicity 1)
2 Sn 0.000 0.500 0.500 (multiplicity 2)
3 Mo 0.500 0.500 0.000 (multiplicity 1)
4 N 0.500 0.500 0.500 (multiplicity 1)

Values from the calculation:
Raw formation energy: 0.35 eV/atom
Final energy: -7.09 eV per atom

Record 2
Compound: TbF5
Source: Alexandria via LeMat-Bulk
Functional: PBE-GGA
Structure: optimized geometry

Lattice parameters (Å, degrees): 3.882 9.382 4.022 90.00 90.00 90.00
Space group Cmmm (No. 65)
Unique sites:
1 Tb 0.000 0.000 0.000 (multiplicity 2)
2 F 0.000 0.135 0.500 (multiplicity 4)
3 F 0.000 0.362 0.000 (multiplicity 4)
4 F 0.000 0.500 0.500 (multiplicity 2)

Values from the calculation:
Raw formation energy: -2.46 eV/atom
Final energy: -4.79 eV per atom